# 1
Computed, not measured: HgOs2Rh after structural relaxation at the PBE level of DFT.

Computed properties:
The energy of formation comes out at 701 meV per atom. The calculation puts the density of states at the Fermi level at 0.934 states/eV/atom. As for the symmetry: Imm2 (44).

Lattice parameters (Å, degrees): 5.7004 5.7004 5.7004 151.83 130.91 57.56
Positions (direct):
Hg 0.7593 0.2593 0.5000
Os 0.0257 0.0257 0.0000
Os 0.2358 0.7358 0.5000
Rh 0.4792 0.4792 0.0000

# 2
Computed, not measured: HgOsRh2 after structural relaxation at the PBE level of DFT.

Computed properties:
The energy of formation comes out at 403 meV per atom. The calculation puts the density of states at the Fermi level at 1.332 states/eV/atom. As for the symmetry: C2/m (12).

Lattice parameters (Å, degrees): 4.7644 4.7644 5.0083 81.39 81.39 34.11
Positions (direct):
Hg 0.0000 0.0000 0.5000
Os 0.5000 0.5000 0.0000
Rh 0.2432 0.2432 0.7736
Rh 0.7568 0.7568 0.2264